Entry from Alexandria: crystalline KBa2Bi at its relaxed geometry (PBE).

Unit cell a=5.1510 b=5.1510 c=11.6052 alpha=77.18 beta=77.18 gamma=60.00
With the nearest neighbours (Å) after each atom.
Positions (direct):
K1 0.5010 0.5010 0.4971  6 Ba 4.75-4.82, 6 K 5.15
Ba1 0.0550 0.0550 0.8349  3 Bi 3.51
Ba2 0.2779 0.2779 0.1664  3 Bi 3.50
Bi1 0.6661 0.6661 0.0016  6 Ba 3.50-3.51

Output
Total magnetization   0.00 μB/cell
SG   R3m, No. 160
E_tot   -2.69 eV per atom
Energy of formation from the pure elements   -1.94 eV/f.u.
Volume   64.44 Å³ per atom